8
Lattice="-2.998 2.998 4.209 2.998 -2.998 4.209 2.998 2.998 -4.209" Properties=species:S:1:pos:R:3 comment="BaP2H, optimized geometry, DFT GGA-PBE" polymorph_energy_ev_per_atom=0.0000 pbc="T T T"
Ba 2.998 1.499 1.052
Ba 0.000 1.499 3.157
P 0.000 0.000 0.000
P 1.499 1.499 -2.104
P 1.499 -1.499 2.104
P 0.000 2.998 0.000
H 2.998 -1.499 3.157
H 0.000 4.497 1.052

---

The following is a DFT calculation (GGA-PBE) of crystalline BaP4H7 at its relaxed geometry.

Cell and atoms, written as extended XYZ:
```
12
Lattice="4.804 0.000 0.000 -1.298 5.972 0.000 -1.186 -2.609 6.606" Properties=species:S:1:pos:R:3 pbc="T T T"
Ba 0.000 0.000 0.000
P -0.104 1.580 5.580
P 0.128 3.309 4.205
P 2.153 2.184 0.931
P 2.241 0.468 2.363
H -1.211 3.833 4.009
H -0.179 0.549 4.583
H 0.111 2.613 2.941
H 2.149 3.278 1.865
H 2.223 1.159 3.627
H 3.601 2.376 0.733
H 3.713 0.377 2.473
```

---

3
Lattice="2.467 1.424 3.557 -2.467 1.424 3.557 0.000 -2.848 3.557" Properties=species:S:1:pos:R:3 comment="BaPH, optimized geometry, DFT GGA-PBE" polymorph_energy_ev_per_atom=0.0000 pbc="T T T"
Ba 0.000 0.000 0.000
P 0.000 0.000 5.308
H 0.000 0.000 3.855

---

4
Lattice="2.299 1.328 6.981 -2.299 1.328 6.981 0.000 -2.655 6.981" Properties=species:S:1:pos:R:3 comment="Ba2PH, optimized geometry, DFT GGA-PBE" polymorph_energy_ev_per_atom=0.0000 pbc="T T T"
Ba 0.000 0.000 5.215
Ba 0.000 0.000 15.728
P 0.000 0.000 10.471
H 0.000 0.000 0.000

---

4
Lattice="2.241 1.294 7.581 -2.241 1.294 7.581 0.000 -2.588 7.581" Properties=species:S:1:pos:R:3 comment="Ba2PH, optimized geometry, DFT GGA-PBE" polymorph_energy_ev_per_atom=0.0489 pbc="T T T"
Ba 0.000 0.000 0.000
Ba 0.000 0.000 4.032
P 0.000 0.000 13.388
H 0.000 0.000 9.552

---

The following is a DFT calculation (GGA-PBE) of crystalline BaP2H8 at its relaxed geometry.

Cell and atoms, written as extended XYZ:
```
11
Lattice="5.024 -3.184 0.000 5.024 3.184 0.000 -3.225 0.000 4.788" Properties=species:S:1:pos:R:3 pbc="T T T"
Ba 0.000 0.000 0.000
P 0.139 0.000 3.332
P 6.684 0.000 1.456
H 1.600 1.556 1.279
H -0.434 0.000 4.652
H 1.535 0.000 3.609
H 1.600 -1.556 1.279
H 5.223 1.556 3.509
H 5.289 0.000 1.179
H 7.257 0.000 0.136
H 5.223 -1.556 3.509
```

---

The following is a DFT calculation (GGA-PBE) of crystalline Ba6P2H at its relaxed geometry.

Cell and atoms, written as extended XYZ:
```
18
Lattice="7.173 -9.834 0.000 7.173 9.834 0.000 -2.924 0.000 5.924" Properties=species:S:1:pos:R:3 pbc="T T T"
Ba -0.080 1.494 3.606
Ba 2.870 5.005 5.314
Ba 1.383 -1.494 0.644
Ba 4.339 1.843 2.105
Ba 7.091 5.005 3.572
Ba 2.877 -1.843 5.067
Ba 8.546 1.843 0.856
Ba 4.332 -5.005 2.352
Ba 7.084 -1.843 3.818
Ba 10.040 1.494 5.280
Ba 8.553 -5.005 0.610
Ba 11.502 -1.494 2.318
P 1.565 1.760 0.716
P 0.103 -1.760 3.678
P 11.320 1.760 2.245
P 9.858 -1.760 5.207
H 6.442 3.415 1.481
H 4.980 -3.415 4.443
```

---

8
Lattice="-3.158 3.158 7.365 3.158 -3.158 7.365 3.158 3.158 -7.365" Properties=species:S:1:pos:R:3 comment="Ba2PH, optimized geometry, DFT GGA-PBE" polymorph_energy_ev_per_atom=0.1564 pbc="T T T"
Ba 4.738 1.367 -1.841
Ba 1.367 1.579 1.841
Ba -1.579 1.791 5.524
Ba 1.791 1.579 9.206
P 3.158 0.000 3.683
P 0.000 0.000 7.365
H 0.000 0.000 0.000
H 0.000 3.158 3.683

---

The following is a DFT calculation (GGA-PBE) of crystalline BaPH5 at its relaxed geometry.

Cell and atoms, written as extended XYZ:
```
7
Lattice="3.728 -2.230 0.000 3.728 2.230 0.000 -2.995 0.000 5.935" Properties=species:S:1:pos:R:3 pbc="T T T"
Ba 0.000 0.000 0.000
P 2.573 0.000 3.135
H 2.093 1.050 2.256
H -0.489 0.000 5.104
H 1.319 0.000 3.862
H 2.093 -1.050 2.256
H 4.928 0.000 0.863
```

---

12
Lattice="7.502 0.000 0.000 0.000 8.364 0.000 0.000 0.000 4.760" Properties=species:S:1:pos:R:3 comment="BaPH, optimized geometry, DFT GGA-PBE" polymorph_energy_ev_per_atom=0.0515 pbc="T T T"
Ba 0.000 0.000 0.000
Ba 0.000 4.182 0.000
Ba 3.751 0.000 2.380
Ba 3.751 4.182 2.380
P 1.170 2.091 2.365
P 2.581 6.273 4.745
P 4.921 2.091 0.015
P 6.333 6.273 2.395
H 0.276 6.273 2.279
H 3.475 2.091 4.659
H 4.027 6.273 0.101
H 7.226 2.091 2.481

---

Table of uncorrected energy (eV per atom), in record order: -4.045, -4.022, -4.308, -3.928, -3.879, -3.605, -3.449, -3.772, -3.617, -4.256